# PIrBr2 (SCAN, single point on PBEsol structure)
data_PIrBr2
_cell_length_a 3.5647
_cell_length_b 3.5647
_cell_length_c 8.0444
_cell_angle_alpha 90.00
_cell_angle_beta 90.00
_cell_angle_gamma 120.00
_space_group_name_H-M_alt 'P 3 m 1'
_space_group_IT_number 156
_space_group_name_Hall 'P 3 -2"'
loop_
_atom_site_label
_atom_site_type_symbol
_atom_site_fract_x
_atom_site_fract_y
_atom_site_fract_z
P1 P 0.0000 0.0000 0.0000
Ir1 Ir 0.6667 0.3333 0.8768
Br1 Br 0.0000 0.0000 0.2738
Br2 Br 0.3333 0.6667 0.6654
# V = 88.52 Å³ per cell
# Polymorph energy (0 for the lowest one) = 0 meV per atom
# Uncorrected formation energy = -0.5470 eV per atom
# Final energy = -30.651 eV per atom

=====

# Mg2B2O5 (SCAN, single point on PBEsol structure)
data_Mg2B2O5
_cell_length_a 9.2298
_cell_length_b 3.1131
_cell_length_c 12.3514
_cell_angle_alpha 90.00
_cell_angle_beta 104.45
_cell_angle_gamma 90.00
_space_group_name_H-M_alt 'P 1 21/c 1'
_space_group_IT_number 14
_space_group_name_Hall '-P 2ybc'
loop_
_atom_site_label
_atom_site_type_symbol
_atom_site_fract_x
_atom_site_fract_y
_atom_site_fract_z
Mg1 Mg 0.1021 0.2144 0.1862
Mg2 Mg 0.3550 0.7077 0.1056
B1 B 0.1699 0.1549 0.4398
B2 B 0.3563 0.7255 0.8407
O1 O 0.0539 0.2151 0.3477
O2 O 0.1809 0.2202 0.0471
O3 O 0.2574 0.7240 0.2382
O4 O 0.3006 0.5741 0.9310
O5 O 0.4956 0.1984 0.1379
# V = 343.68 Å³ per cell
# Uncorrected formation energy = -2.8915 eV per atom
# Final energy = -9.110 eV per atom

=====

# BaSr2Ca (SCAN, single point on PBEsol structure)
data_BaSr2Ca
_cell_length_a 9.2839
_cell_length_b 9.2839
_cell_length_c 9.2839
_cell_angle_alpha 90.00
_cell_angle_beta 90.00
_cell_angle_gamma 90.00
_space_group_name_H-M_alt 'F -4 3 m'
_space_group_IT_number 216
_space_group_name_Hall 'F -4 2 3'
loop_
_atom_site_label
_atom_site_type_symbol
_atom_site_fract_x
_atom_site_fract_y
_atom_site_fract_z
Ba1 Ba 0.0000 0.0000 0.0000
Sr1 Sr 0.0000 0.0000 0.5000
Sr2 Sr 0.2500 0.2500 0.7500
Ca1 Ca 0.2500 0.2500 0.2500
# V = 800.18 Å³ per cell
# Polymorph energy (0 for the lowest one) = 12 meV per atom
# Final energy = -23.402 eV per atom

=====

# La2CBr (SCAN, single point on PBEsol structure)
data_La2CBr
_cell_length_a 6.9332
_cell_length_b 6.9332
_cell_length_c 6.9332
_cell_angle_alpha 90.00
_cell_angle_beta 90.00
_cell_angle_gamma 90.00
_space_group_name_H-M_alt 'F m -3 m'
_space_group_IT_number 225
_space_group_name_Hall '-F 4 2 3'
loop_
_atom_site_label
_atom_site_type_symbol
_atom_site_fract_x
_atom_site_fract_y
_atom_site_fract_z
La1 La 0.2500 0.2500 0.2500
C1 C 0.0000 0.0000 0.0000
Br1 Br 0.0000 0.0000 0.5000
# V = 333.28 Å³ per cell
# Uncorrected formation energy = -0.3441 eV per atom
# Final energy = -29.286 eV per atom

=====

# LaNb3S (SCAN, single point on PBEsol structure)
data_LaNb3S
_cell_length_a 4.8608
_cell_length_b 4.8608
_cell_length_c 4.8608
_cell_angle_alpha 90.00
_cell_angle_beta 90.00
_cell_angle_gamma 90.00
_space_group_name_H-M_alt 'P m -3 m'
_space_group_IT_number 221
_space_group_name_Hall '-P 4 2 3'
loop_
_atom_site_label
_atom_site_type_symbol
_atom_site_fract_x
_atom_site_fract_y
_atom_site_fract_z
La1 La 0.0000 0.0000 0.0000
Nb1 Nb 0.0000 0.0000 0.5000
S1 S 0.5000 0.5000 0.5000
# V = 114.85 Å³ per cell
# Uncorrected formation energy = 2.0712 eV per atom
# Final energy = -28.353 eV per atom

=====

# ZrAl2Au (SCAN, single point on PBEsol structure)
data_ZrAl2Au
_cell_length_a 2.9430
_cell_length_b 5.0936
_cell_length_c 9.5156
_cell_angle_alpha 90.00
_cell_angle_beta 90.00
_cell_angle_gamma 90.00
_space_group_name_H-M_alt 'I m m m'
_space_group_IT_number 71
_space_group_name_Hall '-I 2 2'
loop_
_atom_site_label
_atom_site_type_symbol
_atom_site_fract_x
_atom_site_fract_y
_atom_site_fract_z
Zr1 Zr 0.0000 0.0000 0.0000
Al1 Al 0.0000 0.5000 0.2312
Au1 Au 0.0000 0.0000 0.5000
# V = 142.65 Å³ per cell
# Final energy = -29.307 eV per atom

=====

# AsPbO3 (SCAN, single point on PBEsol structure)
data_AsPbO3
_cell_length_a 3.9503
_cell_length_b 3.9503
_cell_length_c 3.9503
_cell_angle_alpha 90.00
_cell_angle_beta 90.00
_cell_angle_gamma 90.00
_space_group_name_H-M_alt 'P m -3 m'
_space_group_IT_number 221
_space_group_name_Hall '-P 4 2 3'
loop_
_atom_site_label
_atom_site_type_symbol
_atom_site_fract_x
_atom_site_fract_y
_atom_site_fract_z
As1 As 0.0000 0.0000 0.0000
Pb1 Pb 0.5000 0.5000 0.5000
O1 O 0.0000 0.0000 0.5000
# V = 61.64 Å³ per cell
# Uncorrected formation energy = -1.0693 eV per atom
# Final energy = -24.002 eV per atom

=====

# NaCa3ScZn3Si8O24 (SCAN, single point on PBEsol structure)
data_NaCa3ScZn3Si8O24
_cell_length_a 5.2833
_cell_length_b 8.9520
_cell_length_c 9.8050
_cell_angle_alpha 90.00
_cell_angle_beta 105.19
_cell_angle_gamma 90.00
_space_group_name_H-M_alt 'P 1 2 1'
_space_group_IT_number 3
_space_group_name_Hall 'P 2y'
loop_
_atom_site_label
_atom_site_type_symbol
_atom_site_fract_x
_atom_site_fract_y
_atom_site_fract_z
Na1 Na 0.0000 0.0000 0.0000
Ca1 Ca 0.0000 0.8965 0.5000
Ca2 Ca 0.5000 0.3908 0.0000
Ca3 Ca 0.5000 0.4903 0.5000
Sc1 Sc 0.5000 0.7950 0.0000
Zn1 Zn 0.0000 0.2866 0.5000
Zn2 Zn 0.0000 0.5963 0.0000
Zn3 Zn 0.5000 0.1003 0.5000
Si1 Si 0.1943 0.2869 0.2127
Si2 Si 0.1969 0.6006 0.7114
Si3 Si 0.3034 0.1041 0.7859
Si4 Si 0.3026 0.7868 0.2875
O1 O 0.0999 0.6763 0.3515
O2 O 0.1047 0.2146 0.8497
O3 O 0.2120 0.4456 0.1389
O4 O 0.2144 0.4424 0.6389
O5 O 0.2206 0.1044 0.6148
O6 O 0.2234 0.7778 0.1169
O7 O 0.2782 0.2835 0.3841
O8 O 0.2836 0.6071 0.8829
O9 O 0.2853 0.9444 0.3614
O10 O 0.2970 0.9435 0.8585
O11 O 0.3990 0.7110 0.6470
O12 O 0.4025 0.1813 0.1502
# V = 447.54 Å³ per cell
# Uncorrected formation energy = -2.9628 eV per atom
# Final energy = -10.904 eV per atom